Entry 1:
DFT (PBE) results for an optimized crystal structure of CaCd8Ag4.

As for the formation energy: -0.1300 eV/atom. As for the total magnetization: 0.0 μB per formula unit. For the electronic total energy, the calculation gives -1.72 eV/atom.

Cell lengths 9.983, 9.983, 5.649 Å; angles 90.00, 90.00, 90.00 degrees
Space group I4/mmm (No. 139)
Asymmetric unit:
Ca 0.000 0.000 0.000 [2 per cell]
Cd 0.000 0.214 0.500 [8 per cell]
Cd 0.000 0.347 0.000 [8 per cell]
Ag 0.250 0.250 0.250 [8 per cell]

=====

Entry 2:
DFT (PBE) results for an optimized crystal structure of BaTcIr.

As for the formation energy: 0.0836 eV/atom. As for the total magnetization: 0.0 μB per formula unit. For the electronic total energy, the calculation gives -6.97 eV/atom.

Cell lengths 6.921, 5.956, 7.686 Å; angles 90.00, 90.57, 90.00 degrees
Space group C2/m (No. 12)
Asymmetric unit:
Ba 0.246 0.000 0.162 [4 per cell]
Tc 0.000 0.279 0.500 [4 per cell]
Ir 0.218 0.000 0.638 [4 per cell]